YScTl6: optimized geometry, PBE-GGA.

Results
ρ (g cm⁻³): 10.69
Energy relative to the elements (eV per atom): -0.171
D(E_F) (states/eV/atom): 0.30
E (eV for the cell shown): -28.36

Lattice parameters (Å, degrees): 4.730 4.730 9.446 90.00 90.00 90.00
Space group P4/mmm (No. 123)
One atom of each set of equivalent atoms:
1 Y 0.000 0.000 0.000 x1
2 Sc 0.000 0.000 0.500 x1
3 Tl 0.000 0.500 0.256 x4
4 Tl 0.500 0.500 0.000 x1
5 Tl 0.500 0.500 0.500 x1